{
  "formula": "Ho2NiS",
  "functional": "GGA-PBE",
  "state": "optimized geometry",
  "e_above_lowest_polymorph_mev_per_atom": 161,
  "raw_formation_energy_ev_per_fu": -4.236,
  "total_energy_ev_per_atom": -5.8252,
  "lattice_angstrom": [[3.821, 0.000, 0.000], [-1.911, 3.309, 0.000], [0.000, 0.000, 20.618]],
  "species": ["Ho", "Ho", "Ho", "Ho", "Ho", "Ho", "Ni", "Ni", "Ni", "S", "S", "S"],
  "frac_coords": [[0.000, 0.000, 0.000], [0.000, 0.000, 0.181], [0.333, 0.667, 0.667], [0.333, 0.667, 0.848], [0.667, 0.333, 0.333], [0.667, 0.333, 0.515], [0.000, 0.000, 0.590], [0.333, 0.667, 0.257], [0.667, 0.333, 0.924], [0.000, 0.000, 0.423], [0.333, 0.667, 0.090], [0.667, 0.333, 0.757]]
}

***

{
  "formula": "Ho5NiS4",
  "functional": "GGA-PBE",
  "state": "optimized geometry",
  "raw_formation_energy_ev_per_fu": -16.605,
  "total_energy_ev_per_atom": -6.1785,
  "lattice_angstrom": [[6.578, -1.914, 0.000], [6.578, 1.914, 0.000], [-4.849, 0.000, 8.369]],
  "species": ["Ho", "Ho", "Ho", "Ho", "Ho", "Ni", "S", "S", "S", "S"],
  "frac_coords": [[0.000, 0.000, 0.000], [0.196, 0.196, 0.794], [0.405, 0.405, 0.596], [0.595, 0.595, 0.404], [0.804, 0.804, 0.206], [0.000, 0.000, 0.500], [0.197, 0.197, 0.298], [0.396, 0.396, 0.091], [0.604, 0.604, 0.909], [0.803, 0.803, 0.702]]
}

***

{
  "formula": "Ho2NiS",
  "functional": "GGA-PBE",
  "state": "optimized geometry",
  "e_above_lowest_polymorph_mev_per_atom": 0,
  "raw_formation_energy_ev_per_fu": -4.879,
  "total_energy_ev_per_atom": -5.9858,
  "lattice_angstrom": [[3.801, 0.000, 0.000], [0.000, 21.957, 0.000], [0.000, 0.000, 3.936]],
  "species": ["Ho", "Ho", "Ho", "Ho", "Ho", "Ho", "Ho", "Ho", "Ni", "Ni", "Ni", "Ni", "S", "S", "S", "S"],
  "frac_coords": [[0.000, 0.066, 0.250], [0.000, 0.316, 0.250], [0.000, 0.684, 0.750], [0.000, 0.934, 0.750], [0.500, 0.184, 0.750], [0.500, 0.434, 0.750], [0.500, 0.566, 0.250], [0.500, 0.816, 0.250], [0.000, 0.465, 0.250], [0.000, 0.535, 0.750], [0.500, 0.035, 0.750], [0.500, 0.965, 0.250], [0.000, 0.192, 0.250], [0.000, 0.808, 0.750], [0.500, 0.308, 0.750], [0.500, 0.692, 0.250]]
}

***

{
  "formula": "Ho6NiSe3S2",
  "functional": "GGA-PBE",
  "state": "optimized geometry",
  "raw_formation_energy_ev_per_fu": -19.514,
  "total_energy_ev_per_atom": -5.9558,
  "lattice_angstrom": [[3.452, -5.977, 0.000], [3.452, 5.977, 0.000], [-2.328, 0.000, 6.571]],
  "species": ["Ho", "Ho", "Ho", "Ho", "Ho", "Ho", "Ni", "Se", "Se", "Se", "S", "S"],
  "frac_coords": [[0.074, 0.396, 0.227], [0.245, 0.245, 0.769], [0.396, 0.074, 0.227], [0.604, 0.926, 0.773], [0.755, 0.755, 0.231], [0.926, 0.604, 0.773], [0.000, 0.000, 0.000], [0.174, 0.826, 0.500], [0.500, 0.500, 0.500], [0.826, 0.174, 0.500], [0.334, 0.666, 0.000], [0.666, 0.334, 0.000]]
}

***

{
  "formula": "Ho4NiSeS2",
  "functional": "GGA-PBE",
  "state": "optimized geometry",
  "raw_formation_energy_ev_per_fu": -11.950,
  "total_energy_ev_per_atom": -5.9728,
  "lattice_angstrom": [[6.898, 0.000, 0.000], [0.000, 3.866, 0.000], [-2.223, 0.000, 6.555]],
  "species": ["Ho", "Ho", "Ho", "Ho", "Ni", "Se", "S", "S"],
  "frac_coords": [[0.242, 0.000, 0.234], [0.256, 0.500, 0.763], [0.744, 0.500, 0.237], [0.758, 0.000, 0.766], [0.000, 0.500, 0.000], [0.000, 0.000, 0.500], [0.500, 0.000, 0.000], [0.500, 0.500, 0.500]]
}

***

{
  "formula": "Ho4NiTe2S",
  "functional": "GGA-PBE",
  "state": "optimized geometry",
  "raw_formation_energy_ev_per_fu": -9.856,
  "total_energy_ev_per_atom": -5.5449,
  "lattice_angstrom": [[7.217, 0.000, 0.000], [0.000, 4.001, 0.000], [-2.324, 0.000, 7.007]],
  "species": ["Ho", "Ho", "Ho", "Ho", "Ni", "Te", "Te", "S"],
  "frac_coords": [[0.220, 0.000, 0.202], [0.258, 0.500, 0.788], [0.742, 0.500, 0.212], [0.780, 0.000, 0.798], [0.000, 0.500, 0.000], [0.000, 0.000, 0.500], [0.500, 0.500, 0.500], [0.500, 0.000, 0.000]]
}

***

{
  "formula": "HoUNiS4",
  "functional": "GGA-PBE",
  "state": "optimized geometry",
  "raw_formation_energy_ev_per_fu": -9.337,
  "total_energy_ev_per_atom": -6.7848,
  "lattice_angstrom": [[6.275, 0.000, 0.000], [0.000, 5.858, 0.000], [-2.135, 0.000, 7.226]],
  "species": ["Ho", "Ho", "U", "U", "Ni", "Ni", "S", "S", "S", "S", "S", "S", "S", "S"],
  "frac_coords": [[0.249, 0.250, 0.440], [0.751, 0.750, 0.560], [0.262, 0.250, 0.944], [0.738, 0.750, 0.056], [0.260, 0.750, 0.172], [0.740, 0.250, 0.828], [0.063, 0.750, 0.886], [0.065, 0.750, 0.380], [0.484, 0.511, 0.747], [0.484, 0.989, 0.747], [0.516, 0.011, 0.253], [0.516, 0.489, 0.253], [0.935, 0.250, 0.620], [0.937, 0.250, 0.114]]
}

***

{
  "formula": "Ho12NiSb6",
  "functional": "GGA-PBE",
  "state": "optimized geometry",
  "raw_formation_energy_ev_per_fu": -11.922,
  "total_energy_ev_per_atom": -5.1248,
  "lattice_angstrom": [[6.495, 3.750, 3.973], [-6.495, 3.750, 3.973], [0.000, -7.500, 3.973]],
  "species": ["Ho", "Ho", "Ho", "Ho", "Ho", "Ho", "Ho", "Ho", "Ho", "Ho", "Ho", "Ho", "Ni", "Sb", "Sb", "Sb", "Sb", "Sb", "Sb"],
  "frac_coords": [[0.013, 0.691, 0.942], [0.058, 0.987, 0.309], [0.197, 0.414, 0.546], [0.309, 0.058, 0.987], [0.414, 0.546, 0.197], [0.454, 0.803, 0.586], [0.546, 0.197, 0.414], [0.586, 0.454, 0.803], [0.691, 0.942, 0.013], [0.803, 0.586, 0.454], [0.942, 0.013, 0.691], [0.987, 0.309, 0.058], [0.000, 0.000, 0.000], [0.120, 0.643, 0.314], [0.314, 0.120, 0.643], [0.357, 0.686, 0.880], [0.643, 0.314, 0.120], [0.686, 0.880, 0.357], [0.880, 0.357, 0.686]]
}

***

{
  "formula": "Ho3Ni3Sb4",
  "functional": "GGA-PBE",
  "state": "optimized geometry",
  "raw_formation_energy_ev_per_fu": -7.949,
  "total_energy_ev_per_atom": -5.5516,
  "lattice_angstrom": [[-4.734, 4.734, 4.734], [4.734, -4.734, 4.734], [4.734, 4.734, -4.734]],
  "species": ["Ho", "Ho", "Ho", "Ho", "Ho", "Ho", "Ni", "Ni", "Ni", "Ni", "Ni", "Ni", "Sb", "Sb", "Sb", "Sb", "Sb", "Sb", "Sb", "Sb"],
  "frac_coords": [[0.125, 0.875, 0.250], [0.250, 0.125, 0.875], [0.375, 0.625, 0.750], [0.625, 0.750, 0.375], [0.750, 0.375, 0.625], [0.875, 0.250, 0.125], [0.125, 0.750, 0.875], [0.250, 0.625, 0.375], [0.375, 0.250, 0.625], [0.625, 0.375, 0.250], [0.750, 0.875, 0.125], [0.875, 0.125, 0.750], [0.000, 0.143, 0.500], [0.000, 0.643, 0.500], [0.143, 0.500, 0.000], [0.357, 0.357, 0.357], [0.500, 0.000, 0.143], [0.500, 0.000, 0.643], [0.643, 0.500, 0.000], [0.857, 0.857, 0.857]]
}

***

{
  "formula": "Ho5NiSb2",
  "functional": "GGA-PBE",
  "state": "optimized geometry",
  "e_above_lowest_polymorph_mev_per_atom": 13,
  "raw_formation_energy_ev_per_fu": -5.750,
  "total_energy_ev_per_atom": -5.3331,
  "lattice_angstrom": [[7.898, 0.000, 0.000], [0.000, 12.047, 0.000], [0.000, 0.000, 4.433]],
  "species": ["Ho", "Ho", "Ho", "Ho", "Ho", "Ho", "Ho", "Ho", "Ho", "Ho", "Ni", "Ni", "Sb", "Sb", "Sb", "Sb"],
  "frac_coords": [[0.000, 0.000, 0.000], [0.141, 0.301, 0.000], [0.182, 0.563, 0.500], [0.318, 0.063, 0.500], [0.359, 0.801, 0.000], [0.500, 0.500, 0.000], [0.641, 0.199, 0.000], [0.682, 0.937, 0.500], [0.818, 0.437, 0.500], [0.859, 0.699, 0.000], [0.000, 0.500, 0.000], [0.500, 0.000, 0.000], [0.071, 0.827, 0.500], [0.429, 0.327, 0.500], [0.571, 0.673, 0.500], [0.929, 0.173, 0.500]]
}

***

{
  "formula": "Ho8Ni2Sb",
  "functional": "GGA-PBE",
  "state": "optimized geometry",
  "raw_formation_energy_ev_per_fu": -2.918,
  "total_energy_ev_per_atom": -5.0205,
  "lattice_angstrom": [[4.266, -6.544, 0.000], [4.266, 6.544, 0.000], [-1.274, 0.000, 5.226]],
  "species": ["Ho", "Ho", "Ho", "Ho", "Ho", "Ho", "Ho", "Ho", "Ni", "Ni", "Sb"],
  "frac_coords": [[0.077, 0.334, 0.586], [0.248, 0.752, 0.000], [0.334, 0.077, 0.586], [0.394, 0.394, 0.200], [0.606, 0.606, 0.800], [0.666, 0.923, 0.414], [0.752, 0.248, 0.000], [0.923, 0.666, 0.414], [0.304, 0.696, 0.500], [0.696, 0.304, 0.500], [0.000, 0.000, 0.000]]
}

***

{
  "formula": "Ho12Ni6Sb",
  "functional": "GGA-PBE",
  "state": "optimized geometry",
  "raw_formation_energy_ev_per_fu": -8.235,
  "total_energy_ev_per_atom": -5.3673,
  "lattice_angstrom": [[-4.834, 4.834, 4.834], [4.834, -4.834, 4.834], [4.834, 4.834, -4.834]],
  "species": ["Ho", "Ho", "Ho", "Ho", "Ho", "Ho", "Ho", "Ho", "Ho", "Ho", "Ho", "Ho", "Ni", "Ni", "Ni", "Ni", "Ni", "Ni", "Sb"],
  "frac_coords": [[0.117, 0.812, 0.305], [0.188, 0.305, 0.493], [0.188, 0.695, 0.883], [0.305, 0.117, 0.812], [0.305, 0.493, 0.188], [0.493, 0.188, 0.305], [0.507, 0.812, 0.695], [0.695, 0.507, 0.812], [0.695, 0.883, 0.188], [0.812, 0.305, 0.117], [0.812, 0.695, 0.507], [0.883, 0.188, 0.695], [0.124, 0.624, 0.500], [0.376, 0.500, 0.876], [0.500, 0.124, 0.624], [0.500, 0.876, 0.376], [0.624, 0.500, 0.124], [0.876, 0.376, 0.500], [0.000, 0.000, 0.000]]
}

***

{
  "formula": "Ho4Ni2Sb",
  "functional": "GGA-PBE",
  "state": "optimized geometry",
  "raw_formation_energy_ev_per_fu": -3.228,
  "total_energy_ev_per_atom": -5.3177,
  "lattice_angstrom": [[0.000, 6.397, 4.263], [6.272, 0.000, 4.263], [6.272, 6.397, 0.000]],
  "species": ["Ho", "Ho", "Ho", "Ho", "Ho", "Ho", "Ho", "Ho", "Ni", "Ni", "Ni", "Ni", "Sb", "Sb"],
  "frac_coords": [[0.057, 0.943, 0.174], [0.076, 0.424, 0.193], [0.163, 0.514, 0.727], [0.424, 0.076, 0.307], [0.514, 0.163, 0.595], [0.523, 0.655, 0.087], [0.655, 0.523, 0.736], [0.943, 0.057, 0.826], [0.201, 0.387, 0.458], [0.295, 0.792, 0.863], [0.387, 0.201, 0.955], [0.792, 0.295, 0.049], [0.668, 0.668, 0.332], [0.918, 0.918, 0.582]]
}

***

{
  "formula": "Ho6NiSb3",
  "functional": "GGA-PBE",
  "state": "optimized geometry",
  "raw_formation_energy_ev_per_fu": -5.552,
  "total_energy_ev_per_atom": -5.1167,
  "lattice_angstrom": [[5.464, -7.611, 0.000], [5.464, 7.611, 0.000], [0.000, 0.000, 6.912]],
  "species": ["Ho", "Ho", "Ho", "Ho", "Ho", "Ho", "Ho", "Ho", "Ho", "Ho", "Ho", "Ho", "Ni", "Ni", "Sb", "Sb", "Sb", "Sb", "Sb", "Sb"],
  "frac_coords": [[0.018, 0.982, 0.500], [0.106, 0.570, 0.075], [0.243, 0.757, 0.567], [0.244, 0.364, 0.687], [0.364, 0.244, 0.187], [0.430, 0.894, 0.075], [0.570, 0.106, 0.575], [0.636, 0.756, 0.687], [0.756, 0.636, 0.187], [0.757, 0.243, 0.067], [0.894, 0.430, 0.575], [0.982, 0.018, 0.000], [0.149, 0.851, 0.238], [0.851, 0.149, 0.738], [0.069, 0.284, 0.301], [0.284, 0.069, 0.801], [0.433, 0.567, 0.002], [0.567, 0.433, 0.502], [0.716, 0.931, 0.301], [0.931, 0.716, 0.801]]
}

***

{
  "formula": "HoNi2Sb2",
  "functional": "GGA-PBE",
  "state": "optimized geometry",
  "raw_formation_energy_ev_per_fu": -2.732,
  "total_energy_ev_per_atom": -5.4234,
  "lattice_angstrom": [[4.392, 0.000, 0.000], [0.000, 4.392, 0.000], [0.000, 0.000, 10.096]],
  "species": ["Ho", "Ho", "Ni", "Ni", "Ni", "Ni", "Sb", "Sb", "Sb", "Sb"],
  "frac_coords": [[0.250, 0.250, 0.231], [0.750, 0.750, 0.769], [0.250, 0.250, 0.629], [0.250, 0.750, 0.000], [0.750, 0.250, 0.000], [0.750, 0.750, 0.371], [0.250, 0.250, 0.872], [0.250, 0.750, 0.500], [0.750, 0.250, 0.500], [0.750, 0.750, 0.128]]
}

***

{
  "formula": "HoNi3Sb",
  "functional": "GGA-PBE",
  "state": "optimized geometry",
  "raw_formation_energy_ev_per_fu": -1.390,
  "total_energy_ev_per_atom": -5.4869,
  "lattice_angstrom": [[-2.653, 4.941, 3.485], [2.653, -4.941, 3.485], [2.653, 4.941, -3.485]],
  "species": ["Ho", "Ho", "Ni", "Ni", "Ni", "Ni", "Ni", "Ni", "Sb", "Sb"],
  "frac_coords": [[0.325, 0.075, 0.250], [0.675, 0.925, 0.750], [0.125, 0.000, 0.625], [0.125, 0.500, 0.125], [0.245, 0.495, 0.750], [0.755, 0.505, 0.250], [0.875, 0.000, 0.375], [0.875, 0.500, 0.875], [0.000, 0.500, 0.500], [0.500, 0.500, 0.000]]
}

***

{
  "formula": "HoNiSb2",
  "functional": "GGA-PBE",
  "state": "optimized geometry",
  "raw_formation_energy_ev_per_fu": -0.149,
  "total_energy_ev_per_atom": -4.6882,
  "lattice_angstrom": [[3.507, 0.000, 0.000], [-1.754, 3.037, 0.000], [0.000, 0.000, 28.352]],
  "species": ["Ho", "Ho", "Ho", "Ni", "Ni", "Ni", "Sb", "Sb", "Sb", "Sb", "Sb", "Sb"],
  "frac_coords": [[0.000, 0.000, 0.000], [0.333, 0.667, 0.667], [0.667, 0.333, 0.333], [0.000, 0.000, 0.500], [0.333, 0.667, 0.167], [0.667, 0.333, 0.833], [0.000, 0.000, 0.109], [0.000, 0.000, 0.891], [0.333, 0.667, 0.558], [0.333, 0.667, 0.776], [0.667, 0.333, 0.224], [0.667, 0.333, 0.442]]
}

***

{
  "formula": "Ho4NiSb",
  "functional": "GGA-PBE",
  "state": "optimized geometry",
  "e_above_lowest_polymorph_mev_per_atom": 121,
  "raw_formation_energy_ev_per_fu": -2.358,
  "total_energy_ev_per_atom": -5.0954,
  "lattice_angstrom": [[7.614, -3.052, 0.000], [7.614, 3.052, 0.000], [-2.145, 0.000, 7.003]],
  "species": ["Ho", "Ho", "Ho", "Ho", "Ho", "Ho", "Ho", "Ho", "Ni", "Ni", "Sb", "Sb"],
  "frac_coords": [[0.027, 0.805, 0.548], [0.195, 0.973, 0.952], [0.227, 0.419, 0.855], [0.419, 0.227, 0.355], [0.581, 0.773, 0.645], [0.773, 0.581, 0.145], [0.805, 0.027, 0.048], [0.973, 0.195, 0.452], [0.000, 0.500, 0.500], [0.500, 0.000, 0.000], [0.368, 0.632, 0.250], [0.632, 0.368, 0.750]]
}

***

{
  "formula": "Ho6Ni2Sb",
  "functional": "GGA-PBE",
  "state": "optimized geometry",
  "raw_formation_energy_ev_per_fu": -4.036,
  "total_energy_ev_per_atom": -5.2431,
  "lattice_angstrom": [[-4.595, 4.866, 5.076], [4.595, -4.866, 5.076], [4.595, 4.866, -5.076]],
  "species": ["Ho", "Ho", "Ho", "Ho", "Ho", "Ho", "Ho", "Ho", "Ho", "Ho", "Ho", "Ho", "Ni", "Ni", "Ni", "Ni", "Sb", "Sb"],
  "frac_coords": [[0.026, 0.231, 0.795], [0.181, 0.293, 0.474], [0.181, 0.707, 0.888], [0.327, 0.015, 0.688], [0.327, 0.639, 0.312], [0.435, 0.231, 0.205], [0.565, 0.769, 0.795], [0.673, 0.361, 0.688], [0.673, 0.985, 0.312], [0.819, 0.293, 0.112], [0.819, 0.707, 0.526], [0.974, 0.769, 0.205], [0.124, 0.624, 0.500], [0.350, 0.000, 0.350], [0.650, 0.000, 0.650], [0.876, 0.376, 0.500], [0.000, 0.000, 0.000], [0.500, 0.500, 0.000]]
}

***

{
  "formula": "HoNiSb2",
  "functional": "GGA-PBE",
  "state": "optimized geometry",
  "raw_formation_energy_ev_per_fu": -2.674,
  "total_energy_ev_per_atom": -5.3196,
  "lattice_angstrom": [[4.350, 0.000, 0.000], [0.000, 4.350, 0.000], [0.000, 0.000, 9.384]],
  "species": ["Ho", "Ho", "Ni", "Ni", "Sb", "Sb", "Sb", "Sb"],
  "frac_coords": [[0.250, 0.250, 0.236], [0.750, 0.750, 0.764], [0.250, 0.750, 0.000], [0.750, 0.250, 0.000], [0.250, 0.250, 0.856], [0.250, 0.750, 0.500], [0.750, 0.250, 0.500], [0.750, 0.750, 0.144]]
}